Density functional theory data (PBE) for crystalline Nd3Sm6Th2 at its relaxed geometry. Values from VASP.

```
&SYSTEM
  ibrav = 0, nat = 11, ntyp = 3
/
ATOMIC_SPECIES
Nd 144.24 Nd.upf
Sm 150.36 Sm.upf
Th 232.04 Th.upf
ATOMIC_POSITIONS angstrom
Nd 0.000 0.000 0.000
Nd 0.000 0.000 26.663
Nd 0.000 0.000 71.209
Sm 0.000 0.000 9.040
Sm 0.000 0.000 17.873
Sm 0.000 0.000 35.621
Sm 0.000 0.000 62.251
Sm 0.000 0.000 79.999
Sm 0.000 0.000 88.832
Th 0.000 0.000 44.531
Th 0.000 0.000 53.340
CELL_PARAMETERS angstrom
1.817 1.049 32.624
-1.817 1.049 32.624
0.000 -2.098 32.624
```

Summary:
VASP energy in eV/atom: -5.203
Size of the total moment in μB per cell: 0.00
Space group: R-3m
Energy relative to the elements in eV/atom: 0.020